! Ca2Al2Ag3, relaxed, DFT PBE; values from VASP
! Space-group type: C2/m, No. 12
! Energy of formation from the pure elements in eV per atom: -0.258
! Calculated volume in A^3/atom: 22.29
! Magnetization in μB per cell: 0.00
&SYSTEM
  ibrav = 0, nat = 7, ntyp = 3
/
ATOMIC_SPECIES
Ca 40.08 Ca.upf
Al 26.98 Al.upf
Ag 107.87 Ag.upf
CELL_PARAMETERS angstrom
5.508 -2.148 0.000
5.508 2.148 0.000
-3.221 0.000 6.593
ATOMIC_POSITIONS angstrom
Ca 0.697 0.000 1.744
Ca 7.099 0.000 4.849
Al -0.783 0.000 4.704
Al 8.578 0.000 1.889
Ag 3.878 0.000 0.415
Ag 3.898 0.000 3.296
Ag 3.918 0.000 6.178


! Ca2AlAg3, relaxed, DFT PBE; values from VASP
! Space-group type: Fmmm, No. 69
! Energy above the most stable polymorph in this dataset in meV per atom: 62
! Energy of formation from the pure elements in eV per atom: -0.261
! Calculated volume in A^3/atom: 23.62
! Magnetization in μB per cell: 0.00
&SYSTEM
  ibrav = 0, nat = 12, ntyp = 3
/
ATOMIC_SPECIES
Ca 40.08 Ca.upf
Al 26.98 Al.upf
Ag 107.87 Ag.upf
CELL_PARAMETERS angstrom
0.000 4.712 8.167
3.683 0.000 8.167
3.683 4.712 0.000
ATOMIC_POSITIONS angstrom
Ca 5.565 4.712 8.167
Ca 1.841 2.356 4.084
Ca 5.524 7.068 12.251
Ca 1.800 4.712 8.167
Al 3.683 4.712 5.438
Al 3.683 4.712 10.897
Ag 3.683 4.712 2.809
Ag 3.683 2.450 6.758
Ag 3.683 2.450 9.576
Ag 3.683 6.974 6.758
Ag 3.683 6.974 9.576
Ag 3.683 4.712 13.525


Copy entry 1 word for word.
! Ca2Al2Ag3, relaxed, DFT PBE; values from VASP
! Space-group type: C2/m, No. 12
! Energy of formation from the pure elements in eV per atom: -0.258
! Calculated volume in A^3/atom: 22.29
! Magnetization in μB per cell: 0.00
&SYSTEM
  ibrav = 0, nat = 7, ntyp = 3
/
ATOMIC_SPECIES
Ca 40.08 Ca.upf
Al 26.98 Al.upf
Ag 107.87 Ag.upf
CELL_PARAMETERS angstrom
5.508 -2.148 0.000
5.508 2.148 0.000
-3.221 0.000 6.593
ATOMIC_POSITIONS angstrom
Ca 0.697 0.000 1.744
Ca 7.099 0.000 4.849
Al -0.783 0.000 4.704
Al 8.578 0.000 1.889
Ag 3.878 0.000 0.415
Ag 3.898 0.000 3.296
Ag 3.918 0.000 6.178


> The lowest calculated volume belongs to which entry?

Ca2Al2Ag3


> Number 2 is which compound?

Ca2AlAg3